Below is TeBr after structural relaxation, with properties calculated at the PBE level.

a = 15.3609 Å, b = 4.1153 Å, c = 5.1881 Å
α = 90.00°, β = 93.20°, γ = 90.00°
Space group Cm (No. 8)
One atom of each set of equivalent atoms:
Te 0.0000 0.0000 0.0000 (multiplicity 2)
Te 0.0835 0.5000 0.3215 (multiplicity 2)
Br 0.2316 0.5000 0.1127 (multiplicity 2)
Br 0.4184 0.0000 0.6466 (multiplicity 2)

Output
- Uncorrected formation energy: -207 meV/atom